# NdTmW2C3, optimized geometry, DFT GGA-PBE
# - total energy (eV per atom) = -9.25
data_NdTmW2C3
_chemical_formula_sum 'Nd2 Tm2 W4 C6'
_cell_length_a 11.986
_cell_length_b 3.347
_cell_length_c 5.778
_cell_angle_alpha 90.00
_cell_angle_beta 113.48
_cell_angle_gamma 90.00
_symmetry_space_group_name_H-M 'C 1 m 1'
_symmetry_Int_Tables_number 8
loop_
_symmetry_equiv_pos_as_xyz
'x,y,z'
'x,-y,z'
'x+1/2,y+1/2,z'
'x+1/2,-y+1/2,z'
loop_
_atom_site_label
_atom_site_type_symbol
_atom_site_fract_x
_atom_site_fract_y
_atom_site_fract_z
_atom_site_occupancy
Nd1 Nd 0.000 0.000 0.000 1
Tm1 Tm 0.282 0.500 0.364 1
W1 W 0.052 0.500 0.516 1
W2 W 0.238 0.000 0.867 1
C1 C 0.147 0.000 0.459 1
C2 C 0.147 0.500 0.923 1
C3 C 0.391 0.000 0.203 1